Version P
Mn3Te: relaxed, PBE-GGA.

Computed properties:
Symmetry = No. 223
Total magnetic moment = 14.17 Bohr magnetons per cell
Fermi-level density of states = 4.01 states/eV/f.u.
Calculated density = 8.514 Mg/m³

Cell: 4.850 4.850 4.850 Å, 90.00 90.00 90.00°
Fractional positions:
Mn 0.000 0.250 0.500
Mn 0.000 0.750 0.500
Mn 0.250 0.500 0.000
Mn 0.500 0.000 0.250
Mn 0.500 0.000 0.750
Mn 0.750 0.500 0.000
Te 0.000 0.000 0.000
Te 0.500 0.500 0.500

Version Q
Mn3Te: relaxed, PBE-GGA.

Computed properties:
Symmetry = No. 221
Total magnetic moment = 11.09 Bohr magnetons per cell
Fermi-level density of states = 6.40 states/eV/f.u.
Calculated density = 3.801 Mg/m³

Cell: 5.037 5.037 5.037 Å, 90.00 90.00 90.00°
Fractional positions:
Mn 0.000 0.000 0.500
Mn 0.000 0.500 0.000
Mn 0.500 0.000 0.000
Te 0.000 0.000 0.000

Version R
Mn3Te: relaxed, PBE-GGA.

Computed properties:
Symmetry = No. 221
Total magnetic moment = 6.44 Bohr magnetons per cell
Fermi-level density of states = 3.50 states/eV/f.u.
Calculated density = 8.691 Mg/m³

Cell: 3.823 3.823 3.823 Å, 90.00 90.00 90.00°
Fractional positions:
Mn 0.000 0.000 0.500
Mn 0.000 0.500 0.000
Mn 0.500 0.000 0.000
Te 0.500 0.500 0.500

version R ends up most stable, edging out the next structure by 4.9 kJ/mol of atoms.

Version P
Mn3Te: relaxed, PBE-GGA.

Computed properties:
Symmetry = No. 194
Total magnetic moment = 10.87 Bohr magnetons per cell
Fermi-level density of states = 3.30 states/eV/f.u.
Calculated density = 8.726 Mg/m³

Cell: 5.437 5.437 4.347 Å, 90.00 90.00 120.00°
Fractional positions:
Mn 0.152 0.304 0.250
Mn 0.152 0.848 0.250
Mn 0.304 0.152 0.750
Mn 0.696 0.848 0.250
Mn 0.848 0.152 0.750
Mn 0.848 0.696 0.750
Te 0.333 0.667 0.750
Te 0.667 0.333 0.250

Version Q
Mn3Te: relaxed, PBE-GGA.

Computed properties:
Symmetry = No. 166
Total magnetic moment = 9.51 Bohr magnetons per cell
Fermi-level density of states = 4.39 states/eV/f.u.
Calculated density = 7.452 Mg/m³

Cell: 5.093 5.093 5.093 Å, 116.20 116.20 116.20°
Fractional positions:
Mn 0.000 0.500 0.500
Mn 0.500 0.000 0.500
Mn 0.500 0.500 0.000
Te 0.000 0.000 0.000

Version R
Mn3Te: relaxed, PBE-GGA.

Computed properties:
Symmetry = No. 139
Total magnetic moment = 5.65 Bohr magnetons per cell
Fermi-level density of states = 5.83 states/eV/f.u.
Calculated density = 8.868 Mg/m³

Cell: 4.646 4.646 4.646 Å, 131.71 131.71 70.68°
Fractional positions:
Mn 0.000 0.000 0.000
Mn 0.250 0.750 0.500
Mn 0.750 0.250 0.500
Te 0.500 0.500 0.000

version P ends up most stable, edging out the next structure by 6.0 kJ/mol of atoms.

Version P
Mn5Te: relaxed, PBE-GGA.

Computed properties:
Symmetry = No. 65
Total magnetic moment = 3.86 Bohr magnetons per cell
Fermi-level density of states = 4.78 states/eV/f.u.
Calculated density = 8.689 Mg/m³

Cell: 5.628 5.628 3.785 Å, 90.00 90.00 140.11°
Fractional positions:
Mn 0.000 0.000 0.000
Mn 0.179 0.821 0.500
Mn 0.313 0.687 0.000
Mn 0.687 0.313 0.000
Mn 0.821 0.179 0.500
Te 0.500 0.500 0.500

Version Q
Mn5Te: relaxed, PBE-GGA.

Computed properties:
Symmetry = No. 191
Total magnetic moment = 5.48 Bohr magnetons per cell
Fermi-level density of states = 7.49 states/eV/f.u.
Calculated density = 8.270 Mg/m³

Cell: 4.675 4.675 4.267 Å, 90.00 90.00 120.00°
Fractional positions:
Mn 0.000 0.500 0.000
Mn 0.333 0.667 0.500
Mn 0.500 0.000 0.000
Mn 0.500 0.500 0.000
Mn 0.667 0.333 0.500
Te 0.000 0.000 0.500

Version R
Mn5Te: relaxed, PBE-GGA.

Computed properties:
Symmetry = No. 12
Total magnetic moment = 2.79 Bohr magnetons per cell
Fermi-level density of states = 5.15 states/eV/f.u.
Calculated density = 8.515 Mg/m³

Cell: 4.611 4.611 5.394 Å, 107.97 107.97 46.57°
Fractional positions:
Mn 0.000 0.000 0.000
Mn 0.323 0.323 0.144
Mn 0.333 0.333 0.687
Mn 0.667 0.667 0.313
Mn 0.677 0.677 0.856
Te 0.000 0.000 0.500

version P ends up most stable, edging out the next structure by 0.7 kJ/mol of atoms.

Version P
MnTe4: relaxed, PBE-GGA.

Computed properties:
Symmetry = No. 87
Total magnetic moment = 2.86 Bohr magnetons per cell
Fermi-level density of states = 2.40 states/eV/f.u.
Calculated density = 6.144 Mg/m³

Cell: 6.776 6.776 6.776 Å, 93.99 93.99 149.39°
Fractional positions:
Mn 0.000 0.000 0.000
Te 0.284 0.406 0.690
Te 0.406 0.716 0.122
Te 0.594 0.284 0.878
Te 0.716 0.594 0.310

Version Q
MnTe4: relaxed, PBE-GGA.

Computed properties:
Symmetry = No. 221
Total magnetic moment = 3.01 Bohr magnetons per cell
Fermi-level density of states = 4.98 states/eV/f.u.
Calculated density = 6.731 Mg/m³

Cell: 5.186 5.186 5.186 Å, 90.00 90.00 90.00°
Fractional positions:
Mn 0.000 0.000 0.000
Te 0.000 0.000 0.500
Te 0.000 0.500 0.000
Te 0.500 0.000 0.000
Te 0.500 0.500 0.500

version P ends up most stable, edging out the next structure by 19.5 kJ/mol of atoms.

Version P
Ti2MnTe6: relaxed, PBE-GGA.

Computed properties:
Symmetry = No. 12
Total magnetic moment = 2.72 Bohr magnetons per cell
Fermi-level density of states = 4.02 states/eV/f.u.
Calculated density = 5.885 Mg/m³

Cell: 8.000 8.000 9.640 Å, 112.83 112.83 27.20°
Fractional positions:
Ti 0.169 0.169 0.335
Ti 0.831 0.831 0.665
Mn 0.500 0.500 0.000
Te 0.130 0.130 0.030
Te 0.194 0.194 0.637
Te 0.471 0.471 0.704
Te 0.529 0.529 0.296
Te 0.806 0.806 0.363
Te 0.870 0.870 0.970

Version Q
Ti2MnTe6: relaxed, PBE-GGA.

Computed properties:
Symmetry = No. 14
Total magnetic moment = 7.07 Bohr magnetons per cell
Fermi-level density of states = 4.06 states/eV/f.u.
Calculated density = 6.811 Mg/m³

Cell: 6.851 7.064 11.245 Å, 90.00 124.80 90.00°
Fractional positions:
Ti 0.218 0.149 0.247
Ti 0.218 0.351 0.747
Ti 0.782 0.649 0.253
Ti 0.782 0.851 0.753
Mn 0.000 0.000 0.500
Mn 0.000 0.500 0.000
Te 0.089 0.162 0.925
Te 0.089 0.338 0.425
Te 0.263 0.669 0.922
Te 0.263 0.831 0.422
Te 0.415 0.010 0.760
Te 0.415 0.490 0.260
Te 0.585 0.510 0.740
Te 0.585 0.990 0.240
Te 0.737 0.169 0.578
Te 0.737 0.331 0.078
Te 0.911 0.662 0.575
Te 0.911 0.838 0.075

version P ends up most stable, edging out the next structure by 13.4 kJ/mol of atoms.

Version P
TiMnTe2: relaxed, PBE-GGA.

Computed properties:
Symmetry = No. 166
Total magnetic moment = 4.63 Bohr magnetons per cell
Fermi-level density of states = 3.25 states/eV/f.u.
Calculated density = 5.623 Mg/m³

Cell: 9.041 9.041 9.041 Å, 23.80 23.80 23.80°
Fractional positions:
Ti 0.000 0.000 0.000
Mn 0.500 0.500 0.500
Te 0.399 0.399 0.399
Te 0.601 0.601 0.601

Version Q
TiMnTe2: relaxed, PBE-GGA.

Computed properties:
Symmetry = No. 225
Total magnetic moment = 0.21 Bohr magnetons per cell
Fermi-level density of states = 11.31 states/eV/f.u.
Calculated density = 8.065 Mg/m³

Cell: 4.706 4.706 4.706 Å, 60.00 60.00 60.00°
Fractional positions:
Ti 0.000 0.000 0.000
Mn 0.500 0.500 0.500
Te 0.250 0.250 0.250
Te 0.750 0.750 0.750

Version R
TiMnTe2: relaxed, PBE-GGA.

Computed properties:
Symmetry = No. 122
Total magnetic moment = 1.73 Bohr magnetons per cell
Fermi-level density of states = 14.53 states/eV/f.u.
Calculated density = 5.431 Mg/m³

Cell: 7.388 7.388 7.388 Å, 131.89 131.89 70.40°
Fractional positions:
Ti 0.000 0.000 0.000
Ti 0.750 0.250 0.500
Mn 0.250 0.750 0.500
Mn 0.500 0.500 0.000
Te 0.157 0.625 0.032
Te 0.375 0.407 0.532
Te 0.593 0.125 0.968
Te 0.875 0.843 0.468

version P ends up most stable, edging out the next structure by 24.4 kJ/mol of atoms.